Density functional theory data (PBE) for a geometry-optimized Dy3CuGeSe7 structure.

Cell: 10.330 10.330 6.106 Å, 90.00 90.00 120.00°
Sites, in units of the cell vectors:
Dy 0.136 0.780 0.000
Dy 0.220 0.356 0.000
Dy 0.356 0.136 0.500
Dy 0.644 0.864 0.000
Dy 0.780 0.644 0.500
Dy 0.864 0.220 0.500
Cu 0.000 0.000 0.053
Cu 0.000 0.000 0.553
Ge 0.333 0.667 0.417
Ge 0.667 0.333 0.917
Se 0.093 0.518 0.250
Se 0.103 0.840 0.536
Se 0.160 0.263 0.536
Se 0.263 0.103 0.036
Se 0.333 0.667 0.805
Se 0.425 0.907 0.250
Se 0.482 0.575 0.250
Se 0.518 0.425 0.750
Se 0.575 0.093 0.750
Se 0.667 0.333 0.305
Se 0.737 0.897 0.536
Se 0.840 0.737 0.036
Se 0.897 0.160 0.036
Se 0.907 0.482 0.750

Density functional theory data (PBE) for a geometry-optimized DyCuGeTe2Se structure.

Cell: 7.396 7.396 10.457 Å, 90.00 90.00 148.05°
Sites, in units of the cell vectors:
Dy 0.000 0.000 0.000
Dy 0.000 0.000 0.500
Cu 0.478 0.522 0.750
Cu 0.522 0.478 0.250
Ge 0.240 0.760 0.250
Ge 0.760 0.240 0.750
Te 0.346 0.654 0.570
Te 0.346 0.654 0.930
Te 0.654 0.346 0.070
Te 0.654 0.346 0.430
Se 0.081 0.919 0.750
Se 0.919 0.081 0.250

| no. | ρ (g cm⁻³) | E_tot (eV/atom) |
| --- | --- | --- |
| 1 | 6.92 | -5.146 |
| 2 | 6.94 | -4.403 |